Entry 1:
The following is a PBE calculation of an optimized crystal structure of SiAgC2, from Alexandria via LeMat-Bulk.

For the raw formation energy, the calculation gives 1.11 eV/atom.

Unit cell a=4.814 b=4.814 c=8.765 alpha=90.00 beta=90.00 gamma=90.00
Space group I-42d (No. 122)
Symmetry-distinct sites (fractional):
Si (0.000, 0.000, 0.000) x4
Ag (0.000, 0.000, 0.500) x4
C (0.190, 0.250, 0.125) x8

---

Entry 2:
The following is a PBE calculation of an optimized crystal structure of MgNi, from Alexandria via LeMat-Bulk.

Its formation energy from the elements is -18 meV/atom.

Unit cell a=2.855 b=11.210 c=5.827 alpha=90.00 beta=90.00 gamma=90.00
Space group Imm2 (No. 44)
Symmetry-distinct sites (fractional):
Mg (0.000, 0.000, 0.000) x2
Mg (0.000, 0.300, 0.790) x4
Ni (0.000, 0.000, 0.436) x2
Ni (0.000, 0.389, 0.200) x4

---

Entry 3:
The following is a PBE calculation of an optimized crystal structure of Pr3PaIn3Se8, from Alexandria via LeMat-Bulk.

For the raw formation energy, the calculation gives -1.30 eV/atom.

Unit cell a=8.5787 b=8.5787 c=23.2418 alpha=90.00 beta=90.00 gamma=120.00
Space group R-3m (No. 166, hexagonal axes)
Symmetry-distinct sites (fractional):
Pr (0.0000, 0.5000, 0.0000) x9
Pa (0.0000, 0.0000, 0.0000) x3
In (0.0000, 0.5000, 0.5000) x9
Se (0.0000, 0.0000, 0.2609) x6
Se (0.0148, 0.5074, 0.7365) x18

---

Entry 4:
The following is a PBE calculation of an optimized crystal structure of Tl2AgHg2, from Alexandria via LeMat-Bulk.

Its formation energy from the elements is 263 meV/atom. The value obtained for the distance to the lowest polymorph of the same formula is 181 meV per atom.

Unit cell a=4.389 b=4.389 c=15.284 alpha=90.00 beta=90.00 gamma=90.00
Space group I4/mmm (No. 139)
Symmetry-distinct sites (fractional):
Tl (0.000, 0.500, 0.250) x4
Ag (0.000, 0.000, 0.000) x2
Hg (0.000, 0.000, 0.409) x4